1.
Computed, not measured: a geometry-optimized NiSbRhI2 structure at the PBE-GGA level of DFT.

It has space group P4/mmm (No. 123), with a = 5.535 Å, b = 5.535 Å, c = 4.955 Å, α = 90.00°, β = 90.00° and γ = 90.00°. The inequivalent atoms are Ni at (0.000, 0.000, 0.000), Sb at (0.500, 0.500, 0.000), Rh at (0.500, 0.500, 0.500) and I at (0.000, 0.500, 0.500).

For the uncorrected formation energy, the calculation gives 0.78 eV per atom. For the total energy, the calculation gives -3.2929 eV per atom. For the offset from the most stable computed form, the calculation gives 0.000 eV/atom. As for the total magnetization: 0.94 μB per cell.

***

2.
Computed, not measured: a geometry-optimized K4BaNa5 structure at the PBE-GGA level of DFT.

It has space group P4/mmm (No. 123), with a = 4.457 Å, b = 4.457 Å, c = 26.607 Å, α = 90.00°, β = 90.00° and γ = 90.00°. The inequivalent atoms are K at (0.000, 0.000, 0.100), K at (0.000, 0.000, 0.300), Ba at (0.000, 0.000, 0.500), Na at (0.500, 0.500, 0.000), Na at (0.500, 0.500, 0.200) and Na at (0.500, 0.500, 0.401).

For the total energy, the calculation gives -1.2728 eV per atom. As for the total magnetization: 0.00 μB per cell. As for the formation energy: 0.180 eV per formula unit.

***

3.
Computed, not measured: a geometry-optimized CsRe3Sn structure at the PBE-GGA level of DFT.

It has space group Pm-3m (No. 221), with a = 5.078 Å, b = 5.078 Å, c = 5.078 Å, α = 90.00°, β = 90.00° and γ = 90.00°. The inequivalent atoms are Cs at (0.000, 0.000, 0.000), Re at (0.000, 0.500, 0.500) and Sn at (0.500, 0.500, 0.500).

For the total energy, the calculation gives -5.6140 eV per atom. For the offset from the most stable computed form, the calculation gives 0.000 eV/atom. As for the total magnetization: 5.29 μB per cell. As for the formation energy: 14.131 eV per formula unit.

***

4.
Computed, not measured: a geometry-optimized Pm8YEr2 structure at the PBE-GGA level of DFT.

It has space group C2/m (No. 12), with a = 19.274 Å, b = 7.060 Å, c = 5.677 Å, α = 90.00°, β = 93.48° and γ = 90.00°. The inequivalent atoms are Pm at (0.045, 0.000, 0.236), Pm at (0.132, 0.233, 0.731), Pm at (0.188, 0.500, 0.230), Y at (0.000, 0.500, 0.000) and Er at (0.215, 0.000, 0.255).

For the total energy, the calculation gives -4.7175 eV per atom. For the offset from the most stable computed form, the calculation gives 0.000 eV/atom. As for the total magnetization: 0.00 μB per cell. As for the formation energy: 1.702 eV per formula unit.

***

5.
Computed, not measured: a geometry-optimized Ta6Nb2Pt structure at the PBE-GGA level of DFT.

It has space group C2/c (No. 15), with a = 6.025 Å, b = 8.287 Å, c = 13.408 Å, α = 90.00°, β = 99.48° and γ = 90.00°. The inequivalent atoms are Ta at (0.039, 0.173, 0.022), Ta at (0.156, 0.447, 0.587), Ta at (0.193, 0.400, 0.348), Nb at (0.164, 0.234, 0.821) and Pt at (0.000, 0.094, 0.250).

For the total energy, the calculation gives -10.7268 eV per atom. For the offset from the most stable computed form, the calculation gives 0.000 eV/atom. As for the total magnetization: 0.00 μB per cell. As for the formation energy: 0.754 eV per formula unit.

***

6.
Computed, not measured: a geometry-optimized La2Nd3In structure at the PBE-GGA level of DFT.

It has space group Cmmm (No. 65), with a = 5.023 Å, b = 15.775 Å, c = 5.012 Å, α = 90.00°, β = 90.00° and γ = 90.00°. The inequivalent atoms are La at (0.000, 0.164, 0.000), Nd at (0.000, 0.000, 0.500), Nd at (0.000, 0.341, 0.500) and In at (0.000, 0.500, 0.000).

For the total energy, the calculation gives -4.6359 eV per atom. For the offset from the most stable computed form, the calculation gives 0.000 eV/atom. As for the total magnetization: 0.00 μB per cell. As for the formation energy: -0.918 eV per formula unit.

***

What is the total magnetization in the fourth record?
0.00 μB per cell

***

Copy entry 2 word for word.
Computed, not measured: a geometry-optimized K4BaNa5 structure at the PBE-GGA level of DFT.

It has space group P4/mmm (No. 123), with a = 4.457 Å, b = 4.457 Å, c = 26.607 Å, α = 90.00°, β = 90.00° and γ = 90.00°. The inequivalent atoms are K at (0.000, 0.000, 0.100), K at (0.000, 0.000, 0.300), Ba at (0.000, 0.000, 0.500), Na at (0.500, 0.500, 0.000), Na at (0.500, 0.500, 0.200) and Na at (0.500, 0.500, 0.401).

For the total energy, the calculation gives -1.2728 eV per atom. As for the total magnetization: 0.00 μB per cell. As for the formation energy: 0.180 eV per formula unit.